# 1
CdH2SO5 after structural relaxation, computed with PBE.

As for the calculated total energy: -5.306 eV/atom. As for the space group: C2/c (15). The calculation puts the density at 3.98 g cm⁻³.

Cell: 5.2215 5.2215 7.7918 Å, 107.93 107.93 94.33°
Fractional coordinates of all 18 atoms:
Cd 0.0000 0.0000 0.0000
Cd 0.0000 0.0000 0.5000
H 0.1032 0.6375 0.7119
H 0.3625 0.8968 0.7881
H 0.6375 0.1032 0.2119
H 0.8968 0.3625 0.2881
S 0.3568 0.6432 0.2500
S 0.6432 0.3568 0.7500
O 0.1191 0.6371 0.3189
O 0.1604 0.8396 0.7500
O 0.3159 0.3837 0.0912
O 0.3629 0.8809 0.1811
O 0.3837 0.3159 0.5912
O 0.6163 0.6841 0.4088
O 0.6371 0.1191 0.8189
O 0.6841 0.6163 0.9088
O 0.8396 0.1604 0.2500
O 0.8809 0.3629 0.6811

***

# 2
CdH2SO5 after structural relaxation, computed with PBE.

As for the calculated total energy: -5.324 eV/atom. As for the space group: P2_1/c (14). The calculation puts the density at 3.97 g cm⁻³.

Cell: 7.5369 7.3830 8.0020 Å, 90.00 121.72 90.00°
Fractional coordinates of all 36 atoms:
Cd 0.2136 0.2402 0.2601
Cd 0.2136 0.2598 0.7601
Cd 0.7864 0.7402 0.2399
Cd 0.7864 0.7598 0.7399
H 0.2066 0.5252 0.0176
H 0.2066 0.9748 0.5176
H 0.4306 0.0694 0.6285
H 0.4306 0.4306 0.1285
H 0.5694 0.5694 0.8715
H 0.5694 0.9306 0.3715
H 0.7934 0.0252 0.4824
H 0.7934 0.4748 0.9824
S 0.2574 0.6214 0.5138
S 0.2574 0.8786 0.0138
S 0.7426 0.1214 0.9862
S 0.7426 0.3786 0.4862
O 0.1190 0.7289 0.0078
O 0.1190 0.7711 0.5078
O 0.1212 0.5032 0.3425
O 0.1212 0.9968 0.8425
O 0.2769 0.0967 0.5421
O 0.2769 0.4033 0.0421
O 0.3374 0.5150 0.6996
O 0.3374 0.9850 0.1996
O 0.4338 0.6971 0.5078
O 0.4338 0.8029 0.0078
O 0.5662 0.1971 0.9922
O 0.5662 0.3029 0.4922
O 0.6626 0.0150 0.8004
O 0.6626 0.4850 0.3004
O 0.7231 0.5967 0.9579
O 0.7231 0.9033 0.4579
O 0.8788 0.0032 0.1575
O 0.8788 0.4968 0.6575
O 0.8810 0.2289 0.4922
O 0.8810 0.2711 0.9922

***

# 3
Cd5Te2H2S2O16 after structural relaxation, computed with PBE.

As for the calculated total energy: -5.117 eV/atom. As for the space group: P-1 (2). The calculation puts the density at 5.35 g cm⁻³.

Cell: 5.4184 8.3820 8.4955 Å, 69.14 82.75 79.38°
Fractional coordinates of all 27 atoms:
Cd 0.0000 0.0000 0.0000
Cd 0.1805 0.7617 0.6766
Cd 0.3060 0.3421 0.0081
Cd 0.6940 0.6579 0.9919
Cd 0.8195 0.2383 0.3234
Te 0.2195 0.5694 0.2691
Te 0.7805 0.4306 0.7309
H 0.2586 0.0495 0.2450
H 0.7414 0.9505 0.7550
S 0.3326 0.1597 0.6264
S 0.6674 0.8403 0.3736
O 0.0024 0.4841 0.1690
O 0.1194 0.1177 0.1746
O 0.1507 0.2183 0.4937
O 0.2100 0.2087 0.7747
O 0.2961 0.7622 0.0797
O 0.4127 0.9701 0.6819
O 0.4403 0.7520 0.4356
O 0.4994 0.5683 0.8045
O 0.5006 0.4317 0.1955
O 0.5597 0.2480 0.5644
O 0.5873 0.0299 0.3181
O 0.7039 0.2378 0.9203
O 0.7900 0.7913 0.2253
O 0.8493 0.7817 0.5063
O 0.8806 0.8823 0.8254
O 0.9976 0.5159 0.8310

***

# 4
CdH2SeO4 after structural relaxation, computed with PBE.

As for the calculated total energy: -4.862 eV/atom. As for the space group: Pnma (62). The calculation puts the density at 4.55 g cm⁻³.

Cell: 12.7821 5.8855 4.9944 Å, 90.00 90.00 90.00°
Fractional coordinates of all 32 atoms:
Cd 0.2256 0.2500 0.0971
Cd 0.2744 0.7500 0.5971
Cd 0.7256 0.2500 0.4029
Cd 0.7744 0.7500 0.9029
H 0.1070 0.1172 0.5489
H 0.1070 0.3828 0.5489
H 0.3930 0.6172 0.0489
H 0.3930 0.8828 0.0489
H 0.6070 0.1172 0.9511
H 0.6070 0.3828 0.9511
H 0.8930 0.6172 0.4511
H 0.8930 0.8828 0.4511
Se 0.0826 0.7500 0.0021
Se 0.4174 0.2500 0.5021
Se 0.5826 0.7500 0.4979
Se 0.9174 0.2500 0.9979
O 0.0997 0.2500 0.4271
O 0.1305 0.7500 0.3156
O 0.1517 0.5284 0.8440
O 0.1517 0.9716 0.8440
O 0.3483 0.0284 0.3440
O 0.3483 0.4716 0.3440
O 0.3695 0.2500 0.8156
O 0.4003 0.7500 0.9271
O 0.5997 0.2500 0.0729
O 0.6305 0.7500 0.1844
O 0.6517 0.5284 0.6560
O 0.6517 0.9716 0.6560
O 0.8483 0.0284 0.1560
O 0.8483 0.4716 0.1560
O 0.8695 0.2500 0.6844
O 0.9003 0.7500 0.5729

***

# 5
CdH2SeO5 after structural relaxation, computed with PBE.

As for the calculated total energy: -4.903 eV/atom. As for the space group: P2_1/c (14). The calculation puts the density at 4.50 g cm⁻³.

Cell: 7.6025 7.6342 8.0458 Å, 90.00 120.17 90.00°
Fractional coordinates of all 36 atoms:
Cd 0.2018 0.2366 0.2590
Cd 0.2018 0.2634 0.7590
Cd 0.7982 0.7366 0.2410
Cd 0.7982 0.7634 0.7410
H 0.2003 0.5168 0.0205
H 0.2003 0.9832 0.5205
H 0.4194 0.0711 0.6191
H 0.4194 0.4289 0.1191
H 0.5806 0.5711 0.8809
H 0.5806 0.9289 0.3809
H 0.7997 0.0168 0.4795
H 0.7997 0.4832 0.9795
Se 0.2650 0.6196 0.5194
Se 0.2650 0.8804 0.0194
Se 0.7350 0.1196 0.9806
Se 0.7350 0.3804 0.4806
O 0.1031 0.0077 0.8360
O 0.1031 0.4923 0.3360
O 0.1139 0.7152 0.0120
O 0.1139 0.7848 0.5120
O 0.2699 0.1007 0.5438
O 0.2699 0.3993 0.0438
O 0.3516 0.5070 0.7258
O 0.3516 0.9930 0.2258
O 0.4589 0.6950 0.5023
O 0.4589 0.8050 0.0023
O 0.5411 0.1950 0.9977
O 0.5411 0.3050 0.4977
O 0.6484 0.0070 0.7742
O 0.6484 0.4930 0.2742
O 0.7301 0.6007 0.9562
O 0.7301 0.8993 0.4562
O 0.8861 0.2152 0.4880
O 0.8861 0.2848 0.9880
O 0.8969 0.5077 0.6640
O 0.8969 0.9923 0.1640

***

# 6
CdP2H2 after structural relaxation, computed with PBE.

As for the calculated total energy: -3.607 eV/atom. As for the space group: P1 (1). The calculation puts the density at 3.53 g cm⁻³.

Cell: 4.1171 4.1771 5.7123 Å, 70.99 71.39 66.33°
Fractional coordinates of all 5 atoms:
Cd 0.0000 0.0000 0.0000
P 0.4121 0.0296 0.3216
P 0.5691 0.0181 0.6645
H 0.4747 0.6498 0.3790
H 0.7611 0.6364 0.7204

***

# 7
PmCd2H after structural relaxation, computed with PBE.

As for the calculated total energy: -2.054 eV/atom. As for the space group: Fm-3m (225). The calculation puts the density at 6.86 g cm⁻³.

Cell: 7.1077 7.1077 7.1077 Å, 90.00 90.00 90.00°
Fractional coordinates of all 16 atoms:
Pm 0.0000 0.0000 0.0000
Pm 0.0000 0.5000 0.5000
Pm 0.5000 0.0000 0.5000
Pm 0.5000 0.5000 0.0000
Cd 0.2500 0.2500 0.2500
Cd 0.2500 0.2500 0.7500
Cd 0.2500 0.7500 0.2500
Cd 0.2500 0.7500 0.7500
Cd 0.7500 0.2500 0.2500
Cd 0.7500 0.2500 0.7500
Cd 0.7500 0.7500 0.2500
Cd 0.7500 0.7500 0.7500
H 0.0000 0.0000 0.5000
H 0.0000 0.5000 0.0000
H 0.5000 0.0000 0.0000
H 0.5000 0.5000 0.5000

***

# 8
CdHPt3 after structural relaxation, computed with PBE.

As for the calculated total energy: -4.619 eV/atom. As for the space group: R3m (160). The calculation puts the density at 16.69 g cm⁻³.

Cell: 5.8285 5.8285 7.0872 Å, 90.00 90.00 120.00°
Fractional coordinates of all 15 atoms:
Cd 0.0000 0.0000 0.0000
Cd 0.3333 0.6667 0.6667
Cd 0.6667 0.3333 0.3333
H 0.0000 0.0000 0.5888
H 0.3333 0.6667 0.2555
H 0.6667 0.3333 0.9222
Pt 0.0093 0.5047 0.0030
Pt 0.1620 0.3240 0.3364
Pt 0.1620 0.8380 0.3364
Pt 0.3426 0.1713 0.6697
Pt 0.4953 0.5047 0.0030
Pt 0.4953 0.9907 0.0030
Pt 0.6760 0.8380 0.3364
Pt 0.8287 0.1713 0.6697
Pt 0.8287 0.6574 0.6697

***

# 9
Rb3CdH5 after structural relaxation, computed with PBE.

As for the calculated total energy: -2.456 eV/atom. As for the space group: I4/mcm (140). The calculation puts the density at 3.28 g cm⁻³.

Cell: 8.2170 8.2170 8.2170 Å, 122.22 122.22 86.19°
Fractional coordinates of all 18 atoms:
Rb 0.1821 0.6821 0.8642
Rb 0.2500 0.2500 0.0000
Rb 0.3179 0.1821 0.5000
Rb 0.6821 0.8179 0.5000
Rb 0.7500 0.7500 0.0000
Rb 0.8179 0.3179 0.1358
Cd 0.2500 0.7500 0.5000
Cd 0.7500 0.2500 0.5000
H 0.0000 0.0000 0.0000
H 0.0268 0.7876 0.5000
H 0.2124 0.7124 0.2392
H 0.2876 0.5268 0.5000
H 0.4732 0.9732 0.7608
H 0.5000 0.5000 0.0000
H 0.5268 0.0268 0.2392
H 0.7124 0.4732 0.5000
H 0.7876 0.2876 0.7608
H 0.9732 0.2124 0.5000

***

# 10
Sc2CdH2 after structural relaxation, computed with PBE.

As for the calculated total energy: -4.617 eV/atom. As for the space group: I4/mmm (139). The calculation puts the density at 4.89 g cm⁻³.

Cell: 3.4971 3.4971 11.3552 Å, 90.00 90.00 90.00°
Fractional coordinates of all 10 atoms:
Sc 0.0000 0.0000 0.1574
Sc 0.0000 0.0000 0.8426
Sc 0.5000 0.5000 0.3426
Sc 0.5000 0.5000 0.6574
Cd 0.0000 0.0000 0.5000
Cd 0.5000 0.5000 0.0000
H 0.0000 0.5000 0.2500
H 0.0000 0.5000 0.7500
H 0.5000 0.0000 0.2500
H 0.5000 0.0000 0.7500

***

# 11
CdSn2H6 after structural relaxation, computed with PBE.

As for the calculated total energy: -2.582 eV/atom. As for the space group: Fm-3m (225). The calculation puts the density at 5.62 g cm⁻³.

Cell: 5.2985 5.2985 5.2985 Å, 60.00 60.00 60.00°
Fractional coordinates of all 9 atoms:
Cd 0.0000 0.0000 0.0000
Sn 0.2500 0.2500 0.2500
Sn 0.7500 0.7500 0.7500
H 0.2676 0.2676 0.7324
H 0.2676 0.7324 0.2676
H 0.2676 0.7324 0.7324
H 0.7324 0.2676 0.2676
H 0.7324 0.2676 0.7324
H 0.7324 0.7324 0.2676

***

# 12
Hf2Cd after structural relaxation, computed with PBE.

As for the calculated total energy: -3.796 eV/atom. As for the space group: Fd-3m (227). As for the formation energy: 302.9 kJ/mol of atoms. The calculation puts the density at 3.45 g cm⁻³.

Cell: 8.6113 8.6113 8.6113 Å, 60.00 60.00 60.00°
Fractional coordinates of all 6 atoms:
Hf 0.0000 0.0000 0.0000
Hf 0.0000 0.0000 0.5000
Hf 0.0000 0.5000 0.0000
Hf 0.5000 0.0000 0.0000
Cd 0.1250 0.1250 0.1250
Cd 0.8750 0.8750 0.8750